Run w
Here is a relaxed Tm5Zn2 crystal from Alexandria via LeMat-Bulk. Energies are from PBE.

```
Tm5Zn2
1.0
6.117 0.000 -2.597
-1.244 6.156 -2.931
0.275 0.511 9.151
Tm Zn
10 4
direct
0.090 0.233 0.181
0.910 0.767 0.819
0.590 0.948 0.181
0.410 0.052 0.819
0.478 0.728 0.457
0.022 0.272 0.543
0.522 0.272 0.543
0.978 0.728 0.457
0.750 0.500 0.000
0.250 0.500 0.000
0.384 0.628 0.769
0.616 0.372 0.231
0.884 0.141 0.769
0.116 0.859 0.231
```

Results
Space-group type: Ibam

Run x
Here is a relaxed Tm5Zn2 crystal from Alexandria via LeMat-Bulk. Energies are from PBE.

```
Tm5Zn2
1.0
6.916 0.000 0.000
0.000 6.593 0.376
-3.458 -0.564 7.877
Tm Zn
10 4
direct
0.234 0.500 0.186
0.048 0.000 0.814
0.253 0.740 0.547
0.706 0.760 0.453
0.747 0.260 0.453
0.294 0.240 0.547
0.952 0.000 0.186
0.766 0.500 0.814
0.500 0.250 0.000
0.500 0.750 0.000
0.144 0.488 0.774
0.371 0.012 0.226
0.856 0.512 0.226
0.629 0.988 0.774
```

Results
Space-group type: C2/c

Winner for stability: run x

Run w
Here is a relaxed Tm3Zn2 crystal from Alexandria via LeMat-Bulk. Energies are from PBE.

```
Tm3Zn2
1.0
3.513 0.000 0.000
0.000 3.513 0.000
0.000 0.000 19.113
Tm Zn
6 4
direct
0.000 0.000 0.869
0.000 0.000 0.131
0.000 0.000 0.316
0.000 0.000 0.500
0.000 0.000 0.684
0.500 0.500 0.000
0.500 0.500 0.224
0.500 0.500 0.407
0.500 0.500 0.593
0.500 0.500 0.776
```

Results
Space-group type: P4/mmm

Run x
Here is a relaxed Tm3Zn2 crystal from Alexandria via LeMat-Bulk. Energies are from PBE.

```
Tm3Zn2
1.0
-1.754 -0.190 4.566
7.754 -0.189 0.347
0.163 10.387 0.495
Tm Zn
9 6
direct
0.830 0.660 0.004
0.170 0.340 0.996
0.837 0.673 0.331
0.163 0.327 0.669
0.167 0.334 0.333
0.833 0.666 0.667
0.497 0.994 0.336
0.503 0.006 0.664
0.500 0.000 0.000
0.670 0.340 0.497
0.330 0.660 0.503
0.663 0.327 0.170
0.337 0.673 0.830
0.003 0.007 0.163
0.997 0.993 0.837
```

Results
Space-group type: C2/m

Winner for stability: run w